The following is a PBE+U calculation of an optimized crystal structure of Na2IrWO6, from Alexandria.

Computed properties:
Its crystal system is tetragonal. Its volume is 12.05 Å³ per atom. The symmetry is P4/mmm, No. 123. The calculation puts the total energy at -6.379 eV per atom.

POSCAR file:
```
Na2IrWO6
1.0
5.543 0.000 0.000
0.000 5.543 0.000
0.000 0.000 3.920
Na Ir W O
2 1 1 6
direct
0.000 0.500 0.000 Na
0.500 0.000 0.000 Na
0.000 0.000 0.500 Ir
0.500 0.500 0.500 W
0.000 0.000 0.000 O
0.255 0.255 0.500 O
0.255 0.745 0.500 O
0.500 0.500 0.000 O
0.745 0.255 0.500 O
0.745 0.745 0.500 O
```